(1)
A plane-wave DFT calculation with PBE was carried out for Ho4AlZn2In after structural relaxation.

Geometry as POSCAR:
```
Ho4AlZn2In
1.0
2.5540 1.4745 8.3621
-2.5540 1.4745 8.3621
0.0000 -2.9491 8.3621
Ho Al Zn In
4 1 2 1
Cartesian
0.0000 0.0000 3.0626
0.0000 0.0000 9.3387
0.0000 0.0000 15.7474
0.0000 0.0000 22.0236
0.0000 0.0000 0.0000
0.0000 0.0000 6.2820
0.0000 0.0000 18.8041
0.0000 0.0000 12.5431
```

The value obtained for the formation energy is -3.1 eV per formula unit.

(2)
A plane-wave DFT calculation with PBE was carried out for FeHg2Sb after structural relaxation.

Geometry as POSCAR:
```
FeHg2Sb
1.0
1.6533 0.9546 9.4639
-1.6533 0.9546 9.4639
0.0000 -1.9091 9.4639
Fe Hg Sb
1 2 1
Cartesian
0.0000 0.0000 0.0000
0.0000 0.0000 14.2211
0.0000 0.0000 20.9432
0.0000 0.0000 7.7389
```

As for the energy relative to the elements, uncorrected: 1.1 eV/f.u.

(3)
A plane-wave DFT calculation with PBE was carried out for Cs3In2F9 after structural relaxation.

Geometry as POSCAR:
```
Cs3In2F9
1.0
5.7461 3.3175 5.0474
-5.7461 3.3175 5.0474
0.0000 -6.6350 5.0474
Cs In F
6 4 18
Cartesian
-3.7853 0.0787 6.3092
-1.9608 -3.2388 8.8329
1.8245 -3.3175 6.3092
-1.8245 3.3175 8.8329
1.9608 3.2388 6.3092
3.7853 -0.0787 8.8329
0.0000 0.0000 2.2062
0.0000 0.0000 5.3649
0.0000 0.0000 9.7772
0.0000 0.0000 12.9360
-4.8468 -1.6848 8.7471
-0.9643 -5.0398 6.3950
-1.5561 0.0000 3.7855
-0.9644 -1.5952 6.2235
0.7781 -1.3476 3.7855
-3.8825 3.3551 6.3950
0.7781 1.3476 3.7855
-0.8993 1.6327 6.2235
-1.8636 0.0376 8.9187
1.8636 -0.0376 6.2235
0.8993 -1.6327 8.9187
-0.7781 -1.3476 11.3566
3.8824 -3.3551 8.7471
-0.7781 1.3476 11.3566
0.9643 1.5952 8.9187
1.5561 0.0000 11.3566
0.9644 5.0398 8.7471
4.8468 1.6848 6.3950
```

As for the energy relative to the elements, uncorrected: -37.6 eV/f.u.

(4)
A plane-wave DFT calculation with PBE was carried out for CaPm2Pr2 after structural relaxation.

Geometry as POSCAR:
```
CaPm2Pr2
1.0
1.8531 1.0699 15.2928
-1.8531 1.0699 15.2928
0.0000 -2.1397 15.2928
Ca Pm Pr
1 2 2
Cartesian
0.0000 0.0000 0.0000
0.0000 0.0000 9.1451
0.0000 0.0000 36.7333
0.0000 0.0000 18.5143
0.0000 0.0000 27.3641
```

The value obtained for the formation energy is 0.1 eV per formula unit. For the energy above the most stable polymorph in this dataset, the calculation gives 0.00 eV/f.u.

(5)
A plane-wave DFT calculation with PBE was carried out for CdTc2W after structural relaxation.

Geometry as POSCAR:
```
CdTc2W
1.0
2.8263 0.0000 0.0000
0.0000 4.0596 0.0000
0.0000 0.0000 5.7018
Cd Tc W
1 2 1
Cartesian
0.0000 0.0000 0.0000
0.0000 0.0000 2.8138
1.4131 2.0298 1.5933
1.4131 2.0298 4.0597
```

The value obtained for the formation energy is 1.4 eV per formula unit.

(6)
A plane-wave DFT calculation with PBE was carried out for Ce4GeP2Se after structural relaxation.

Geometry as POSCAR:
```
Ce4GeP2Se
1.0
7.1859 0.0000 0.0000
0.0000 4.1511 0.0000
-2.3932 0.0000 6.8160
Ce Ge P Se
4 1 2 1
Cartesian
1.1852 0.0000 1.6196
-0.0061 2.0756 5.1837
4.7988 2.0756 1.6323
3.6075 0.0000 5.1964
-1.1966 0.0000 3.4080
0.0000 2.0756 0.0000
3.5930 0.0000 0.0000
2.3964 2.0756 3.4080
```

As for the energy relative to the elements, uncorrected: -11.2 eV/f.u.

(7)
A plane-wave DFT calculation with PBE was carried out for BaBi12Ir4 after structural relaxation.

Geometry as POSCAR:
```
BaBi12Ir4
1.0
-4.9573 4.9573 4.9573
4.9573 -4.9573 4.9573
4.9573 4.9573 -4.9573
Ba Bi Ir
1 12 4
Cartesian
0.0000 0.0000 0.0000
3.3533 0.0000 1.5852
6.5612 0.0000 1.5852
4.9573 3.3720 -1.6039
1.5852 3.3533 0.0000
3.3720 -1.6039 4.9573
0.0000 1.5852 3.3533
4.9573 3.3720 1.6039
1.5852 6.5612 0.0000
3.3720 1.6039 4.9573
0.0000 1.5852 6.5612
-1.6039 4.9573 3.3720
1.6039 4.9573 3.3720
2.4786 2.4786 -2.4786
2.4786 -2.4786 2.4786
-2.4786 2.4786 2.4786
2.4786 2.4786 2.4786
```

The value obtained for the formation energy is -2.5 eV per formula unit.

(8)
A plane-wave DFT calculation with PBE was carried out for ScNbGeMo2 after structural relaxation.

Geometry as POSCAR:
```
ScNbGeMo2
1.0
4.7488 0.0000 0.0000
0.0000 4.7488 0.0000
0.0000 0.0000 4.9623
Sc Nb Ge Mo
1 1 1 2
Cartesian
0.0000 0.0000 0.0000
2.3744 2.3744 2.4811
2.3744 2.3744 0.0000
0.0000 2.3744 2.4811
2.3744 0.0000 2.4811
```

The value obtained for the formation energy is 5.7 eV per formula unit.

E_tot / eV per atom: -3.81 -3.03 -4.46 -4.19 -8.30 -6.73 -5.08 -7.40